(1)
A geometry-optimized K2BaAlH8 structure. Source: Alexandria, functional PBE-GGA.

Unit cell a=4.693 b=6.553 c=7.200 alpha=74.84 beta=87.50 gamma=80.46
Space group P-1 (No. 2)
Inequivalent atoms, fractional coordinates:
K1 0.090 0.100 0.219
Ba1 0.500 0.500 0.500
Al1 0.500 0.500 0.000
H1 0.051 0.252 0.537
H2 0.104 0.499 0.000
H3 0.442 0.706 0.116
H4 0.461 0.689 0.783

## Properties
Crystal system: triclinic
Final energy, eV/atom: -3.028

(2)
A geometry-optimized NdDyCd2 structure. Source: Alexandria, functional PBE-GGA.

Unit cell a=7.605 b=7.605 c=7.605 alpha=90.00 beta=90.00 gamma=90.00
Space group Fm-3m (No. 225)
Inequivalent atoms, fractional coordinates:
Nd1 0.000 0.000 0.000
Dy1 0.000 0.000 0.500
Cd1 0.250 0.250 0.250

## Properties
Crystal system: cubic
Final energy, eV/atom: -3.116
ΔH_f (0 K), eV per formula unit: -1.26

(3)
A geometry-optimized HoBi2PdO6 structure. Source: Alexandria, functional PBE-GGA.

Unit cell a=5.702 b=5.967 c=5.984 alpha=118.98 beta=117.74 gamma=90.14
Space group P1 (No. 1)
Inequivalent atoms, fractional coordinates:
Ho1 0.000 0.000 0.000
Bi1 0.272 0.837 0.557
Bi2 0.794 0.353 0.572
Pd1 0.489 0.465 0.965
O1 0.133 0.168 0.472
O2 0.194 0.658 0.014
O3 0.349 0.182 0.016
O4 0.628 0.684 0.840
O5 0.718 0.216 0.856
O6 0.864 0.691 0.500

## Properties
Crystal system: triclinic
Final energy, eV/atom: -6.230
Formation energy from raw total energies, meV per atom: -1502

(4)
A geometry-optimized Cr2CoSi structure. Source: Alexandria, functional PBE-GGA.

Unit cell a=3.087 b=3.087 c=4.923 alpha=90.00 beta=90.00 gamma=90.00
Space group P4/mmm (No. 123)
Inequivalent atoms, fractional coordinates:
Cr1 0.000 0.000 0.236
Co1 0.500 0.500 0.500
Si1 0.500 0.500 0.000

## Properties
Crystal system: tetragonal
Final energy, eV/atom: -7.944
Formation energy from raw total energies, meV per atom: 0

(5)
A geometry-optimized DyPaN2 structure. Source: Alexandria, functional PBE-GGA.

Unit cell a=3.4482 b=3.4482 c=17.8267 alpha=90.00 beta=90.00 gamma=120.00
Space group R3m (No. 160, hexagonal axes)
Inequivalent atoms, fractional coordinates:
Dy1 0.0000 0.0000 0.0000
Pa1 0.0000 0.0000 0.8221
N1 0.0000 0.0000 0.2345
N2 0.0000 0.0000 0.4116

## Properties
Crystal system: trigonal
Final energy, eV/atom: -9.122
Formation energy from raw total energies, meV per atom: -1434

(6)
A geometry-optimized Nd3Mg5Au2 structure. Source: Alexandria, functional PBE-GGA.

Unit cell a=12.614 b=12.987 c=6.434 alpha=90.00 beta=90.00 gamma=90.00
Space group Ibam (No. 72)
Inequivalent atoms, fractional coordinates:
Nd1 0.000 0.000 0.250
Nd2 0.247 0.146 0.000
Mg1 0.000 0.264 0.250
Mg2 0.000 0.500 0.250
Mg3 0.164 0.401 0.000
Au1 0.136 0.149 0.500

## Properties
Crystal system: orthorhombic
Final energy, eV/atom: -3.167
ΔH_f (0 K), eV per formula unit: -2.84

(7)
A geometry-optimized Dy2HoAlO structure. Source: Alexandria, functional PBE-GGA.

Unit cell a=4.726 b=4.726 c=4.694 alpha=90.00 beta=90.00 gamma=90.00
Space group P4/mmm (No. 123)
Inequivalent atoms, fractional coordinates:
Dy1 0.000 0.500 0.000
Ho1 0.000 0.000 0.500
Al1 0.500 0.500 0.500
O1 0.000 0.000 0.000

## Properties
Crystal system: tetragonal
Final energy, eV/atom: -5.867
Formation energy from raw total energies, meV per atom: -1370

(8)
A geometry-optimized KCrAu structure. Source: Alexandria, functional PBE-GGA.

Unit cell a=4.5666 b=4.5666 c=5.0794 alpha=90.00 beta=90.00 gamma=120.00
Space group P-6m2 (No. 187)
Inequivalent atoms, fractional coordinates:
K1 0.0000 0.0000 0.0000
Cr1 0.3333 0.6667 0.5000
Au1 0.6667 0.3333 0.5000

## Properties
Crystal system: hexagonal
Final energy, eV/atom: -4.253
ΔH_f (0 K), eV per formula unit: 1.24

(9)
A geometry-optimized CsInSnAs2 structure. Source: Alexandria, functional PBE-GGA.

Unit cell a=17.889 b=4.367 c=9.923 alpha=90.00 beta=120.34 gamma=90.00
Space group C2/m (No. 12)
Inequivalent atoms, fractional coordinates:
Cs1 0.119 0.000 0.025
In1 0.095 0.500 0.649
Sn1 0.171 0.000 0.458
As1 0.051 0.500 0.325
As2 0.196 0.000 0.754

## Properties
Crystal system: monoclinic
Final energy, eV/atom: -3.679
ΔH_f (0 K), eV per formula unit: -1.50

(10)
A geometry-optimized LiMnAl2 structure. Source: Alexandria, functional PBE-GGA.

Unit cell a=4.352 b=4.352 c=2.834 alpha=90.00 beta=90.00 gamma=90.00
Space group P4/mmm (No. 123)
Inequivalent atoms, fractional coordinates:
Li1 0.000 0.000 0.000
Mn1 0.500 0.500 0.000
Al1 0.000 0.500 0.500

## Properties
Crystal system: tetragonal
Final energy, eV/atom: -4.839
ΔH_f (0 K), eV per formula unit: -0.79

(11)
A geometry-optimized K3UCu2Te6 structure. Source: Alexandria, functional PBE-GGA.

Unit cell a=8.2610 b=8.2610 c=9.1811 alpha=90.00 beta=90.00 gamma=120.00
Space group P-3m1 (No. 164)
Inequivalent atoms, fractional coordinates:
K1 0.0000 0.0000 0.0000
K2 0.3333 0.6667 0.6473
U1 0.0000 0.0000 0.5000
Cu1 0.3333 0.6667 0.2935
Te1 0.1600 0.3201 0.2995

## Properties
Crystal system: trigonal
Final energy, eV/atom: -3.972
Formation energy from raw total energies, meV per atom: -503

(12)
A geometry-optimized TcMo2HPt structure. Source: Alexandria, functional PBE-GGA.

Unit cell a=4.000 b=4.000 c=3.945 alpha=90.00 beta=90.00 gamma=90.00
Space group P4/mmm (No. 123)
Inequivalent atoms, fractional coordinates:
Tc1 0.000 0.000 0.000
Mo1 0.000 0.500 0.500
H1 0.000 0.000 0.500
Pt1 0.500 0.500 0.000

## Properties
Crystal system: tetragonal
Final energy, eV/atom: -8.415

(13)
A geometry-optimized V4Ni3Pt12Rh structure. Source: Alexandria, functional PBE-GGA.

Unit cell a=9.046 b=9.046 c=9.046 alpha=90.00 beta=90.00 gamma=90.00
Space group Im-3 (No. 204)
Inequivalent atoms, fractional coordinates:
V1 0.250 0.250 0.250
Ni1 0.000 0.000 0.500
Pt1 0.000 0.148 0.272
Rh1 0.000 0.000 0.000

## Properties
Crystal system: cubic
Final energy, eV/atom: -6.279
ΔH_f (0 K), eV per formula unit: 8.09

(14)
A geometry-optimized Dy4AlCo2 structure. Source: Alexandria, functional PBE-GGA.

Unit cell a=4.7613 b=4.7613 c=25.1830 alpha=90.00 beta=90.00 gamma=120.00
Space group R-3m (No. 166, hexagonal axes)
Inequivalent atoms, fractional coordinates:
Dy1 0.0000 0.0000 0.1134
Dy2 0.0000 0.0000 0.2957
Al1 0.0000 0.0000 0.5000
Co1 0.0000 0.0000 0.4072

## Properties
Crystal system: trigonal
Final energy, eV/atom: -5.340
ΔH_f (0 K), eV per formula unit: -1.02

(15)
A geometry-optimized Na5Eu3H12 structure. Source: Alexandria, functional PBE-GGA.

Unit cell a=13.335 b=13.335 c=13.335 alpha=90.00 beta=90.00 gamma=90.00
Space group Ia-3d (No. 230)
Inequivalent atoms, fractional coordinates:
Na1 0.000 0.000 0.000
Na2 0.000 0.250 0.375
Eu1 0.000 0.250 0.125
H1 0.017 0.070 0.657

## Properties
Crystal system: cubic
Final energy, eV/atom: -4.160

(16)
A geometry-optimized Pr3Al4Ge2 structure. Source: Alexandria, functional PBE-GGA.

Unit cell a=11.446 b=4.323 c=8.663 alpha=90.00 beta=101.21 gamma=90.00
Space group C2/m (No. 12)
Inequivalent atoms, fractional coordinates:
Pr1 0.000 0.000 0.000
Pr2 0.167 0.500 0.665
Al1 0.050 0.000 0.384
Al2 0.227 0.500 0.061
Ge1 0.112 0.500 0.278

## Properties
Crystal system: monoclinic
Final energy, eV/atom: -4.898
ΔH_f (0 K), eV per formula unit: -5.54

(17)
A geometry-optimized Dy3Cd2Hg3 structure. Source: Alexandria, functional PBE-GGA.

Unit cell a=3.809 b=5.185 c=20.271 alpha=90.00 beta=90.00 gamma=90.00
Space group Immm (No. 71)
Inequivalent atoms, fractional coordinates:
Dy1 0.000 0.000 0.000
Dy2 0.000 0.500 0.131
Cd1 0.000 0.000 0.240
Hg1 0.000 0.000 0.500
Hg2 0.000 0.500 0.379

## Properties
Crystal system: orthorhombic
Final energy, eV/atom: -2.430
ΔH_f (0 K), eV per formula unit: -2.90

(18)
A geometry-optimized Ho4In2O structure. Source: Alexandria, functional PBE-GGA.

Unit cell a=4.620 b=4.620 c=16.349 alpha=90.00 beta=90.00 gamma=90.00
Space group I4/mmm (No. 139)
Inequivalent atoms, fractional coordinates:
Ho1 0.000 0.000 0.169
Ho2 0.000 0.500 0.000
In1 0.000 0.000 0.361
O1 0.000 0.000 0.000

## Properties
Crystal system: tetragonal
Final energy, eV/atom: -5.206
Formation energy from raw total energies, meV per atom: -1099

(19)
A geometry-optimized Na2CoReI structure. Source: Alexandria, functional PBE-GGA.

Unit cell a=5.986 b=5.986 c=4.335 alpha=90.00 beta=90.00 gamma=90.00
Space group P4/mmm (No. 123)
Inequivalent atoms, fractional coordinates:
Na1 0.000 0.500 0.000
Co1 0.000 0.000 0.500
Re1 0.000 0.000 0.000
I1 0.500 0.500 0.500

## Properties
Crystal system: tetragonal
Final energy, eV/atom: -3.734
Formation energy from raw total energies, meV per atom: 1015

(20)
A geometry-optimized PuPa6Rh2 structure. Source: Alexandria, functional PBE-GGA.

Unit cell a=9.995 b=4.803 c=8.394 alpha=90.00 beta=101.72 gamma=90.00
Space group C2/m (No. 12)
Inequivalent atoms, fractional coordinates:
Pu1 0.000 0.000 0.000
Pa1 0.047 0.000 0.310
Pa2 0.112 0.500 0.674
Pa3 0.165 0.500 0.069
Rh1 0.235 0.500 0.391

## Properties
Crystal system: monoclinic
Final energy, eV/atom: -9.815
ΔH_f (0 K), eV per formula unit: -2.32

(21)
A geometry-optimized TaSb2W structure. Source: Alexandria, functional PBE-GGA.

Unit cell a=3.530 b=4.459 c=5.077 alpha=90.00 beta=90.00 gamma=90.00
Space group Pmmm (No. 47)
Inequivalent atoms, fractional coordinates:
Ta1 0.000 0.000 0.000
Sb1 0.000 0.500 0.500
Sb2 0.500 0.500 0.000
W1 0.500 0.000 0.500

## Properties
Crystal system: orthorhombic
Final energy, eV/atom: -7.563
Formation energy from raw total energies, meV per atom: 700